VASP calculation (PBE) on a geometry-optimized Al2IrSe structure.

a = 3.2002 Å, b = 3.3424 Å, c = 6.4858 Å
α = 70.21°, β = 90.00°, γ = 90.00°
Sites, in units of the cell vectors:
Ir1 0.5000 0.2500 0.2500
Al1 0.0000 0.9154 0.0283
Al2 0.0000 0.5846 0.4717
Se1 0.5000 0.7500 0.7500

## Properties
Its calculated density is 8.3 g/cm3. As for the size of the total moment: 0.00 μB per cell. The energy relative to the elements, uncorrected comes out at -0.294 eV/atom.